Material: K3Pm2PuS6
Method: DFT, PBE-GGA
State: optimized geometry

a b c (Å): 7.205 7.205 7.743
angles (deg): 98.92 98.92 120.00
Element x y z (fractional)
K: 0.167 0.833 0.500
K: 0.833 0.167 0.500
K: 0.500 0.500 0.500
Pm: 0.333 0.667 0.000
Pm: 0.667 0.333 0.000
Pu: 0.000 0.000 0.000
S: 0.932 0.602 0.795
S: 0.738 0.738 0.205
S: 0.068 0.398 0.205
S: 0.602 0.932 0.795
S: 0.262 0.262 0.795
S: 0.398 0.068 0.205

Calculated values
* SG: No. 12
* energy: -0.447 Ry/atom
* formation energy without anion corrections: -1.755 eV/atom
* D(E_F): 1.0088 states/eV per atom